Computed, not measured: Nd6Ir2SI2 after structural relaxation at the PBE-GGA level of DFT.

Lattice parameters (Å, degrees): 7.301 7.301 8.067 98.36 98.36 118.74
Sites, in units of the cell vectors:
Nd: 0.095 0.433 0.807
Nd: 0.206 0.206 0.196
Nd: 0.433 0.095 0.807
Nd: 0.567 0.905 0.193
Nd: 0.794 0.794 0.804
Nd: 0.905 0.567 0.193
Ir: 0.170 0.830 0.000
Ir: 0.830 0.170 0.000
S: 0.500 0.500 0.000
I: 0.335 0.665 0.500
I: 0.665 0.335 0.500

Calculated values
space-group type = C2/m, No. 12
total magnetic moment = 0.00 μB/f.u.
uncorrected formation energy = -0.972 eV per atom

=====

Computed, not measured: Sm4Y3Tl4 after structural relaxation at the PBE-GGA level of DFT.

Lattice parameters (Å, degrees): 10.872 10.872 10.872 160.51 128.36 55.72
Sites, in units of the cell vectors:
Sm: 0.017 0.838 0.179
Sm: 0.341 0.162 0.179
Sm: 0.659 0.838 0.821
Sm: 0.983 0.162 0.821
Y: 0.000 0.500 0.500
Y: 0.405 0.405 0.000
Y: 0.595 0.595 0.000
Tl: 0.274 0.774 0.500
Tl: 0.280 0.000 0.280
Tl: 0.720 0.000 0.720
Tl: 0.726 0.226 0.500

Calculated values
space-group type = Immm, No. 71
DFT total energy = -0.1689 hartree per atom
total magnetic moment = 0.00 μB/f.u.

=====

Computed, not measured: TbNpRh after structural relaxation at the PBE-GGA level of DFT.

Lattice parameters (Å, degrees): 10.355 3.355 7.669 90.00 91.83 90.00
Sites, in units of the cell vectors:
Tb: 0.082 0.000 0.307
Tb: 0.418 0.500 0.693
Tb: 0.582 0.500 0.307
Tb: 0.918 0.000 0.693
Np: 0.173 0.500 0.953
Np: 0.327 0.000 0.047
Np: 0.673 0.000 0.953
Np: 0.827 0.500 0.047
Rh: 0.191 0.000 0.661
Rh: 0.309 0.500 0.339
Rh: 0.691 0.500 0.661
Rh: 0.809 0.000 0.339

Calculated values
space-group type = C2/m, No. 12
DFT total energy = -0.3110 hartree per atom
total magnetic moment = 0.00 μB/f.u.

=====

no.,N(E_F) (states/eV per atom)
1,0.510
2,0.950
3,1.302